VASP calculation (SCAN) on a PBEsol-optimized structure of Re3AgO.

Unit cell a=4.723 b=4.723 c=4.723 alpha=90.00 beta=90.00 gamma=90.00
Site moments in Bohr magnetons follow the coordinates.
Atoms (fractional coordinates):
Re1 0.000 0.500 0.000  1.21
Re2 0.000 0.000 0.500  1.21
Re3 0.500 0.000 0.000  1.21
O1 0.500 0.500 0.500  1.15
Ag1 0.000 0.000 0.000  0.15

## Properties
The value obtained for the final energy is -46.260 eV per atom. As for the formation energy from raw total energies: 3.919 eV/atom.